# 1
# NpUH2O8 (GGA-PBE, optimized geometry)
data_NpUH2O8
_chemical_formula_sum 'Np1 U1 H2 O8'
_space_group_name_H-M_alt 'P 1'
_space_group_IT_number 1
_cell_length_a 4.729
_cell_length_b 4.949
_cell_length_c 7.221
_cell_angle_alpha 90.67
_cell_angle_beta 90.95
_cell_angle_gamma 100.86
loop_
_space_group_symop_operation_xyz
'x,y,z'
loop_
_atom_site_label
_atom_site_fract_x
_atom_site_fract_y
_atom_site_fract_z
_atom_site_occupancy
Np1 0.000 0.000 0.000 1
U1 0.000 0.000 0.500 1
H1 0.285 0.444 0.758 1
H2 0.715 0.556 0.242 1
O1 0.192 0.174 0.237 1
O2 0.227 0.243 0.752 1
O3 0.244 0.758 0.987 1
O4 0.245 0.757 0.516 1
O5 0.755 0.243 0.484 1
O6 0.756 0.242 0.013 1
O7 0.773 0.757 0.248 1
O8 0.808 0.826 0.763 1
# Symmetry: P-1, No. 2
# E_tot, eV/cell: -95.0


# 2
# Tl4Hg5S (GGA-PBE, optimized geometry)
data_Tl4Hg5S
_chemical_formula_sum 'Tl4 Hg5 S1'
_space_group_name_H-M_alt 'P 1'
_space_group_IT_number 1
_cell_length_a 9.658
_cell_length_b 9.658
_cell_length_c 8.746
_cell_angle_alpha 115.89
_cell_angle_beta 115.89
_cell_angle_gamma 24.26
loop_
_space_group_symop_operation_xyz
'x,y,z'
loop_
_atom_site_label
_atom_site_fract_x
_atom_site_fract_y
_atom_site_fract_z
_atom_site_occupancy
Tl1 0.063 0.063 0.271 1
Tl2 0.341 0.341 0.979 1
Tl3 0.659 0.659 0.021 1
Tl4 0.937 0.937 0.729 1
Hg1 0.139 0.139 0.710 1
Hg2 0.249 0.249 0.363 1
Hg3 0.500 0.500 0.500 1
Hg4 0.751 0.751 0.637 1
Hg5 0.861 0.861 0.290 1
S1 0.500 0.500 0.000 1
# Symmetry: C2/m, No. 12
# E_form (uncorrected), eV/atom: -0.083


# 3
# Ce6As5Se (GGA-PBE, optimized geometry)
data_Ce6As5Se
_chemical_formula_sum 'Ce6 As5 Se1'
_space_group_name_H-M_alt 'P 1'
_space_group_IT_number 1
_cell_length_a 7.309
_cell_length_b 7.309
_cell_length_c 7.307
_cell_angle_alpha 99.60
_cell_angle_beta 99.60
_cell_angle_gamma 119.99
loop_
_space_group_symop_operation_xyz
'x,y,z'
loop_
_atom_site_label
_atom_site_fract_x
_atom_site_fract_y
_atom_site_fract_z
_atom_site_occupancy
Ce1 0.080 0.416 0.748 1
Ce2 0.248 0.248 0.251 1
Ce3 0.416 0.080 0.748 1
Ce4 0.584 0.920 0.252 1
Ce5 0.752 0.752 0.749 1
Ce6 0.920 0.584 0.252 1
As1 0.000 0.000 0.500 1
As2 0.167 0.833 0.000 1
As3 0.334 0.666 0.500 1
As4 0.666 0.334 0.500 1
As5 0.833 0.167 0.000 1
Se1 0.500 0.500 0.000 1
# Symmetry: C2/m, No. 12
# E_form (uncorrected), eV/atom: -1.503


# 4
# Er5Sc2Pb4 (GGA-PBE, optimized geometry)
data_Er5Sc2Pb4
_chemical_formula_sum 'Er5 Sc2 Pb4'
_space_group_name_H-M_alt 'P 1'
_space_group_IT_number 1
_cell_length_a 11.230
_cell_length_b 11.230
_cell_length_c 8.175
_cell_angle_alpha 98.91
_cell_angle_beta 98.91
_cell_angle_gamma 18.02
loop_
_space_group_symop_operation_xyz
'x,y,z'
loop_
_atom_site_label
_atom_site_fract_x
_atom_site_fract_y
_atom_site_fract_z
_atom_site_occupancy
Er1 0.000 0.000 0.000 1
Er2 0.319 0.319 0.547 1
Er3 0.357 0.357 0.994 1
Er4 0.643 0.643 0.006 1
Er5 0.681 0.681 0.453 1
Sc1 0.079 0.079 0.658 1
Sc2 0.921 0.921 0.342 1
Pb1 0.221 0.221 0.781 1
Pb2 0.456 0.456 0.674 1
Pb3 0.544 0.544 0.326 1
Pb4 0.779 0.779 0.219 1
# Symmetry: C2/m, No. 12
# ΔH_f (0 K), kJ/mol of formula units: -232.8


# 5
# Cs2PdCl (GGA-PBE, optimized geometry)
data_Cs2PdCl
_chemical_formula_sum 'Cs4 Pd2 Cl2'
_space_group_name_H-M_alt 'P 1'
_space_group_IT_number 1
_cell_length_a 9.228
_cell_length_b 9.228
_cell_length_c 9.228
_cell_angle_alpha 130.68
_cell_angle_beta 130.68
_cell_angle_gamma 72.32
loop_
_space_group_symop_operation_xyz
'x,y,z'
loop_
_atom_site_label
_atom_site_fract_x
_atom_site_fract_y
_atom_site_fract_z
_atom_site_occupancy
Cs1 0.112 0.625 0.987 1
Cs2 0.375 0.362 0.487 1
Cs3 0.638 0.125 0.013 1
Cs4 0.875 0.888 0.513 1
Pd1 0.000 0.000 0.000 1
Pd2 0.750 0.250 0.500 1
Cl1 0.250 0.750 0.500 1
Cl2 0.500 0.500 0.000 1
# Symmetry: I-42d, No. 122
# E_form (uncorrected), eV/atom: -0.565


# 6
# TaReAg (GGA-PBE, optimized geometry)
data_TaReAg
_chemical_formula_sum 'Ta1 Re1 Ag1'
_space_group_name_H-M_alt 'P 1'
_space_group_IT_number 1
_cell_length_a 4.634
_cell_length_b 4.634
_cell_length_c 2.696
_cell_angle_alpha 90.00
_cell_angle_beta 90.00
_cell_angle_gamma 120.00
loop_
_space_group_symop_operation_xyz
'x,y,z'
loop_
_atom_site_label
_atom_site_fract_x
_atom_site_fract_y
_atom_site_fract_z
_atom_site_occupancy
Ta1 0.000 0.000 0.000 1
Re1 0.333 0.667 0.693 1
Ag1 0.667 0.333 0.332 1
# Symmetry: P3m1, No. 156
# ΔH_f (0 K), kJ/mol of formula units: 91.5


# 7
# NiTePd2Au (GGA-PBE, optimized geometry)
data_NiTePd2Au
_chemical_formula_sum 'Ni1 Te1 Pd2 Au1'
_space_group_name_H-M_alt 'P 1'
_space_group_IT_number 1
_cell_length_a 4.729
_cell_length_b 4.729
_cell_length_c 4.552
_cell_angle_alpha 90.00
_cell_angle_beta 90.00
_cell_angle_gamma 90.00
loop_
_space_group_symop_operation_xyz
'x,y,z'
loop_
_atom_site_label
_atom_site_fract_x
_atom_site_fract_y
_atom_site_fract_z
_atom_site_occupancy
Ni1 0.000 0.000 0.000 1
Te1 0.000 0.000 0.500 1
Pd1 0.000 0.500 0.000 1
Pd2 0.500 0.000 0.000 1
Au1 0.500 0.500 0.500 1
# Symmetry: P4/mmm, No. 123
# E_form (uncorrected), eV/atom: 0.546


# 8
# Pr4Co3Ru (GGA-PBE, optimized geometry)
data_Pr4Co3Ru
_chemical_formula_sum 'Pr4 Co3 Ru1'
_space_group_name_H-M_alt 'P 1'
_space_group_IT_number 1
_cell_length_a 4.056
_cell_length_b 4.236
_cell_length_c 10.807
_cell_angle_alpha 90.00
_cell_angle_beta 90.00
_cell_angle_gamma 90.00
loop_
_space_group_symop_operation_xyz
'x,y,z'
loop_
_atom_site_label
_atom_site_fract_x
_atom_site_fract_y
_atom_site_fract_z
_atom_site_occupancy
Pr1 0.000 0.000 0.000 1
Pr2 0.000 0.500 0.495 1
Pr3 0.500 0.000 0.709 1
Pr4 0.500 0.500 0.210 1
Co1 0.000 0.000 0.303 1
Co2 0.500 0.000 0.400 1
Co3 0.500 0.500 0.914 1
Ru1 0.000 0.500 0.799 1
# Symmetry: Pmm2, No. 25
# ΔH_f (0 K), kJ/mol of formula units: -43.8


# 9
# KAu2 (GGA-PBE, optimized geometry)
data_KAu2
_chemical_formula_sum 'K2 Au4'
_space_group_name_H-M_alt 'P 1'
_space_group_IT_number 1
_cell_length_a 8.758
_cell_length_b 8.758
_cell_length_c 5.618
_cell_angle_alpha 90.00
_cell_angle_beta 90.00
_cell_angle_gamma 160.68
loop_
_space_group_symop_operation_xyz
'x,y,z'
loop_
_atom_site_label
_atom_site_fract_x
_atom_site_fract_y
_atom_site_fract_z
_atom_site_occupancy
K1 0.110 0.890 0.750 1
K2 0.890 0.110 0.250 1
Au1 0.216 0.784 0.250 1
Au2 0.433 0.567 0.750 1
Au3 0.567 0.433 0.250 1
Au4 0.784 0.216 0.750 1
# Symmetry: Cmcm, No. 63
# ΔH_f (0 K), kJ/mol of formula units: -16.7


# 10
# Mg2AlZn2Ni5 (GGA-PBE, optimized geometry)
data_Mg2AlZn2Ni5
_chemical_formula_sum 'Mg4 Al2 Zn4 Ni10'
_space_group_name_H-M_alt 'P 1'
_space_group_IT_number 1
_cell_length_a 8.833
_cell_length_b 8.833
_cell_length_c 3.492
_cell_angle_alpha 90.00
_cell_angle_beta 90.00
_cell_angle_gamma 90.00
loop_
_space_group_symop_operation_xyz
'x,y,z'
loop_
_atom_site_label
_atom_site_fract_x
_atom_site_fract_y
_atom_site_fract_z
_atom_site_occupancy
Mg1 0.172 0.328 0.000 1
Mg2 0.328 0.828 0.000 1
Mg3 0.672 0.172 0.000 1
Mg4 0.828 0.672 0.000 1
Al1 0.000 0.000 0.000 1
Al2 0.500 0.500 0.000 1
Zn1 0.127 0.627 0.000 1
Zn2 0.373 0.127 0.000 1
Zn3 0.627 0.873 0.000 1
Zn4 0.873 0.373 0.000 1
Ni1 0.000 0.500 0.500 1
Ni2 0.064 0.805 0.500 1
Ni3 0.195 0.064 0.500 1
Ni4 0.305 0.564 0.500 1
Ni5 0.436 0.305 0.500 1
Ni6 0.500 0.000 0.500 1
Ni7 0.564 0.695 0.500 1
Ni8 0.695 0.436 0.500 1
Ni9 0.805 0.936 0.500 1
Ni10 0.936 0.195 0.500 1
# Symmetry: P4/mbm, No. 127
# ΔH_f (0 K), kJ/mol of formula units: -201.2


# 11
# Ca2TbCu (GGA-PBE, optimized geometry)
data_Ca2TbCu
_chemical_formula_sum 'Ca2 Tb1 Cu1'
_space_group_name_H-M_alt 'P 1'
_space_group_IT_number 1
_cell_length_a 11.197
_cell_length_b 11.197
_cell_length_c 11.197
_cell_angle_alpha 18.89
_cell_angle_beta 18.89
_cell_angle_gamma 18.89
loop_
_space_group_symop_operation_xyz
'x,y,z'
loop_
_atom_site_label
_atom_site_fract_x
_atom_site_fract_y
_atom_site_fract_z
_atom_site_occupancy
Ca1 0.107 0.107 0.107 1
Ca2 0.893 0.893 0.893 1
Tb1 0.000 0.000 0.000 1
Cu1 0.500 0.500 0.500 1
# Symmetry: R-3m, No. 166
# ΔH_f (0 K), kJ/mol of formula units: 103.2


# 12
# Li2Zn4Ag (GGA-PBE, optimized geometry)
data_Li2Zn4Ag
_chemical_formula_sum 'Li4 Zn8 Ag2'
_space_group_name_H-M_alt 'P 1'
_space_group_IT_number 1
_cell_length_a 5.113
_cell_length_b 5.113
_cell_length_c 9.716
_cell_angle_alpha 90.00
_cell_angle_beta 90.00
_cell_angle_gamma 62.98
loop_
_space_group_symop_operation_xyz
'x,y,z'
loop_
_atom_site_label
_atom_site_fract_x
_atom_site_fract_y
_atom_site_fract_z
_atom_site_occupancy
Li1 0.152 0.152 0.000 1
Li2 0.348 0.348 0.500 1
Li3 0.652 0.652 0.500 1
Li4 0.848 0.848 0.000 1
Zn1 0.224 0.276 0.750 1
Zn2 0.229 0.771 0.756 1
Zn3 0.271 0.729 0.256 1
Zn4 0.276 0.224 0.250 1
Zn5 0.724 0.776 0.750 1
Zn6 0.729 0.271 0.744 1
Zn7 0.771 0.229 0.244 1
Zn8 0.776 0.724 0.250 1
Ag1 0.000 0.000 0.500 1
Ag2 0.500 0.500 0.000 1
# Symmetry: Cmce, No. 64
# ΔH_f (0 K), kJ/mol of formula units: -46.3


# 13
# GaTcAs2Se (GGA-PBE, optimized geometry)
data_GaTcAs2Se
_chemical_formula_sum 'Ga1 Tc1 As2 Se1'
_space_group_name_H-M_alt 'P 1'
_space_group_IT_number 1
_cell_length_a 4.832
_cell_length_b 4.832
_cell_length_c 4.964
_cell_angle_alpha 90.00
_cell_angle_beta 90.00
_cell_angle_gamma 90.00
loop_
_space_group_symop_operation_xyz
'x,y,z'
loop_
_atom_site_label
_atom_site_fract_x
_atom_site_fract_y
_atom_site_fract_z
_atom_site_occupancy
Ga1 0.000 0.000 0.000 1
Tc1 0.500 0.500 0.500 1
As1 0.000 0.500 0.000 1
As2 0.500 0.000 0.000 1
Se1 0.000 0.000 0.500 1
# Symmetry: P4/mmm, No. 123
# E_form (uncorrected), eV/atom: 1.124


# 14
# NdPa2Ga6 (GGA-PBE, optimized geometry)
data_NdPa2Ga6
_chemical_formula_sum 'Nd1 Pa2 Ga6'
_space_group_name_H-M_alt 'P 1'
_space_group_IT_number 1
_cell_length_a 7.690
_cell_length_b 7.690
_cell_length_c 7.690
_cell_angle_alpha 145.99
_cell_angle_beta 125.49
_cell_angle_gamma 65.82
loop_
_space_group_symop_operation_xyz
'x,y,z'
loop_
_atom_site_label
_atom_site_fract_x
_atom_site_fract_y
_atom_site_fract_z
_atom_site_occupancy
Nd1 0.000 0.000 0.000 1
Pa1 0.395 0.895 0.500 1
Pa2 0.605 0.105 0.500 1
Ga1 0.010 0.307 0.703 1
Ga2 0.299 0.500 0.799 1
Ga3 0.395 0.693 0.703 1
Ga4 0.605 0.307 0.297 1
Ga5 0.701 0.500 0.201 1
Ga6 0.990 0.693 0.297 1
# Symmetry: Immm, No. 71
# ΔH_f (0 K), kJ/mol of formula units: -237.1


# 15
# BaBeAs2 (GGA-PBE, optimized geometry)
data_BaBeAs2
_chemical_formula_sum 'Ba1 Be1 As2'
_space_group_name_H-M_alt 'P 1'
_space_group_IT_number 1
_cell_length_a 3.764
_cell_length_b 4.820
_cell_length_c 5.901
_cell_angle_alpha 90.00
_cell_angle_beta 90.00
_cell_angle_gamma 90.00
loop_
_space_group_symop_operation_xyz
'x,y,z'
loop_
_atom_site_label
_atom_site_fract_x
_atom_site_fract_y
_atom_site_fract_z
_atom_site_occupancy
Ba1 0.000 0.000 0.000 1
Be1 0.000 0.500 0.500 1
As1 0.500 0.500 0.270 1
As2 0.500 0.500 0.730 1
# Symmetry: Pmmm, No. 47
# ΔH_f (0 K), kJ/mol of formula units: -165.4


# 16
# YErNiPd (GGA-PBE, optimized geometry)
data_YErNiPd
_chemical_formula_sum 'Y1 Er1 Ni1 Pd1'
_space_group_name_H-M_alt 'P 1'
_space_group_IT_number 1
_cell_length_a 4.356
_cell_length_b 5.499
_cell_length_c 5.499
_cell_angle_alpha 40.08
_cell_angle_beta 90.00
_cell_angle_gamma 90.00
loop_
_space_group_symop_operation_xyz
'x,y,z'
loop_
_atom_site_label
_atom_site_fract_x
_atom_site_fract_y
_atom_site_fract_z
_atom_site_occupancy
Y1 0.000 0.000 0.000 1
Er1 0.500 0.721 0.721 1
Ni1 0.000 0.277 0.277 1
Pd1 0.500 0.436 0.436 1
# Symmetry: Amm2, No. 38
# ΔH_f (0 K), kJ/mol of formula units: -259.6


# 17
# BeRu2Pt (GGA-PBE, optimized geometry)
data_BeRu2Pt
_chemical_formula_sum 'Be2 Ru4 Pt2'
_space_group_name_H-M_alt 'P 1'
_space_group_IT_number 1
_cell_length_a 9.376
_cell_length_b 9.376
_cell_length_c 9.376
_cell_angle_alpha 157.99
_cell_angle_beta 157.99
_cell_angle_gamma 31.33
loop_
_space_group_symop_operation_xyz
'x,y,z'
loop_
_atom_site_label
_atom_site_fract_x
_atom_site_fract_y
_atom_site_fract_z
_atom_site_occupancy
Be1 0.000 0.000 0.000 1
Be2 0.750 0.250 0.500 1
Ru1 0.093 0.625 0.968 1
Ru2 0.375 0.343 0.468 1
Ru3 0.657 0.125 0.032 1
Ru4 0.875 0.907 0.532 1
Pt1 0.250 0.750 0.500 1
Pt2 0.500 0.500 0.000 1
# Symmetry: I-42d, No. 122
# ΔH_f (0 K), kJ/mol of formula units: 144.7


# 18
# Tb2DyYS6 (GGA-PBE, optimized geometry)
data_Tb2DyYS6
_chemical_formula_sum 'Tb2 Dy1 Y1 S6'
_space_group_name_H-M_alt 'P 1'
_space_group_IT_number 1
_cell_length_a 7.365
_cell_length_b 7.365
_cell_length_c 7.365
_cell_angle_alpha 56.16
_cell_angle_beta 56.16
_cell_angle_gamma 56.16
loop_
_space_group_symop_operation_xyz
'x,y,z'
loop_
_atom_site_label
_atom_site_fract_x
_atom_site_fract_y
_atom_site_fract_z
_atom_site_occupancy
Tb1 0.000 0.000 0.000 1
Tb2 0.500 0.500 0.500 1
Dy1 0.202 0.202 0.202 1
Y1 0.702 0.702 0.702 1
S1 0.099 0.802 0.402 1
S2 0.302 0.599 0.903 1
S3 0.402 0.099 0.802 1
S4 0.599 0.903 0.302 1
S5 0.802 0.402 0.099 1
S6 0.903 0.302 0.599 1
# Symmetry: R3, No. 146
# E_form (uncorrected), eV/atom: -2.062


# 19
# Sm2Dy2Hg3 (GGA-PBE, optimized geometry)
data_Sm2Dy2Hg3
_chemical_formula_sum 'Sm2 Dy2 Hg3'
_space_group_name_H-M_alt 'P 1'
_space_group_IT_number 1
_cell_length_a 9.042
_cell_length_b 9.042
_cell_length_c 9.042
_cell_angle_alpha 33.61
_cell_angle_beta 33.61
_cell_angle_gamma 33.61
loop_
_space_group_symop_operation_xyz
'x,y,z'
loop_
_atom_site_label
_atom_site_fract_x
_atom_site_fract_y
_atom_site_fract_z
_atom_site_occupancy
Sm1 0.127 0.127 0.127 1
Sm2 0.873 0.873 0.873 1
Dy1 0.378 0.378 0.378 1
Dy2 0.622 0.622 0.622 1
Hg1 0.000 0.000 0.000 1
Hg2 0.251 0.251 0.251 1
Hg3 0.749 0.749 0.749 1
# Symmetry: R-3m, No. 166
# ΔH_f (0 K), kJ/mol of formula units: -215.2


# 20
# LaEr2Tm4Sc (GGA-PBE, optimized geometry)
data_LaEr2Tm4Sc
_chemical_formula_sum 'La2 Er4 Tm8 Sc2'
_space_group_name_H-M_alt 'P 1'
_space_group_IT_number 1
_cell_length_a 9.313
_cell_length_b 9.313
_cell_length_c 9.313
_cell_angle_alpha 137.99
_cell_angle_beta 103.68
_cell_angle_gamma 91.18
loop_
_space_group_symop_operation_xyz
'x,y,z'
loop_
_atom_site_label
_atom_site_fract_x
_atom_site_fract_y
_atom_site_fract_z
_atom_site_occupancy
La1 0.500 0.000 0.000 1
La2 0.500 0.500 0.500 1
Er1 0.000 0.000 0.000 1
Er2 0.000 0.000 0.500 1
Er3 0.000 0.500 0.000 1
Er4 0.500 0.000 0.500 1
Tm1 0.241 0.743 0.498 1
Tm2 0.250 0.256 0.506 1
Tm3 0.250 0.744 0.994 1
Tm4 0.256 0.257 0.998 1
Tm5 0.744 0.743 0.002 1
Tm6 0.750 0.256 0.006 1
Tm7 0.750 0.744 0.494 1
Tm8 0.759 0.257 0.502 1
Sc1 0.000 0.500 0.500 1
Sc2 0.500 0.500 0.000 1
# Symmetry: Imma, No. 74
# ΔH_f (0 K), kJ/mol of formula units: 339.3


Density of states at the Fermi level values (in states/eV per cell) by entry order: 6.29, 3.46, 32.32, 10.90, 0.27, 2.22, 4.11, 8.63, 1.74, 8.17, 4.82, 4.12, 4.15, 7.66, 1.11, 3.03, 9.45, 0.00, 9.37, 37.76.